DFT (PBE-GGA) results for an optimized crystal structure of PmNd12Er7.

distance to the lowest polymorph of the same formula = 98 meV per atom
DOS at the Fermi energy = 29.43 states/eV/f.u.

a = 6.2174 Å, b = 11.5388 Å, c = 11.5388 Å
α = 116.85°, β = 100.35°, γ = 100.35°
Positions (direct):
1 Pm 0.0000 0.0000 0.0000
2 Nd 0.0882 0.5867 0.1750
3 Nd 0.0868 0.1750 0.5883
4 Nd 0.5826 0.6472 0.0017
5 Nd 0.4191 0.0017 0.3545
6 Nd 0.4985 0.4117 0.5867
7 Nd 0.0646 0.6455 0.6472
8 Nd 0.9354 0.3545 0.3528
9 Nd 0.5015 0.5883 0.4133
10 Nd 0.5809 0.9983 0.6455
11 Nd 0.4174 0.3528 0.9983
12 Nd 0.9132 0.8250 0.4117
13 Nd 0.9118 0.4133 0.8250
14 Er 0.1269 0.7561 0.0018
15 Er 0.8750 0.0018 0.2457
16 Er 0.6293 0.7543 0.7561
17 Er 0.5000 0.0000 0.0000
18 Er 0.3707 0.2457 0.2439
19 Er 0.1250 0.9982 0.7543
20 Er 0.8731 0.2439 0.9982

DFT (PBE-GGA) results for an optimized crystal structure of Pm2NdEr12.

DOS at the Fermi energy = 24.62 states/eV/f.u.
electronic total energy = -4.542 eV per atom

a = 6.5141 Å, b = 6.5137 Å, c = 25.3069 Å
α = 89.07°, β = 101.64°, γ = 64.19°
Positions (direct):
1 Pm 0.5214 0.1135 0.2694
2 Pm 0.0208 0.6137 0.2694
3 Pm 0.9786 0.3865 0.7306
4 Pm 0.4792 0.8863 0.7306
5 Nd 0.5159 0.0157 0.0000
6 Nd 0.9841 0.4843 0.0000
7 Er 0.5460 0.3524 0.7984
8 Er 0.0455 0.8525 0.7979
9 Er 0.8649 0.5689 0.8656
10 Er 0.4218 0.5402 0.9248
11 Er 0.0867 0.0812 0.3350
12 Er 0.0782 0.9598 0.0752
13 Er 0.5385 0.2305 0.5402
14 Er 0.5858 0.5807 0.3351
15 Er 0.3631 0.0673 0.8655
16 Er 0.6351 0.9311 0.1344
17 Er 0.0950 0.2032 0.5968
18 Er 0.9615 0.2695 0.4598
19 Er 0.9142 0.9193 0.6649
20 Er 0.4050 0.2968 0.4032
21 Er 0.1369 0.4327 0.1345
22 Er 0.9043 0.7970 0.4029
23 Er 0.5957 0.7030 0.5971
24 Er 0.9540 0.1476 0.2016
25 Er 0.0391 0.7309 0.5400
26 Er 0.4133 0.4188 0.6650
27 Er 0.9248 0.0373 0.9246
28 Er 0.4545 0.6475 0.2021
29 Er 0.4609 0.7691 0.4600
30 Er 0.5752 0.4627 0.0754

DFT (PBE-GGA) results for an optimized crystal structure of PmNdEr4.

distance to the lowest polymorph of the same formula = 270 meV per atom
DOS at the Fermi energy = 15.56 states/eV/f.u.

a = 6.6160 Å, b = 6.6160 Å, c = 6.6160 Å
α = 60.00°, β = 60.00°, γ = 60.00°
Site moments in Bohr magnetons follow the coordinates.
Positions (direct):
1 Pm 0.2500 0.2500 0.2500  0.45
2 Nd 0.0000 0.0000 0.0000  0.43
3 Er 0.6249 0.6249 0.1254  0.34
4 Er 0.6249 0.1254 0.6249  0.34
5 Er 0.6249 0.6249 0.6249  0.34
6 Er 0.1254 0.6249 0.6249  0.34

DFT (PBE-GGA) results for an optimized crystal structure of Pm2NdEr4.

distance to the lowest polymorph of the same formula = 61 meV per atom
DOS at the Fermi energy = 10.90 states/eV/f.u.

a = 9.9251 Å, b = 8.5402 Å, c = 8.5313 Å
α = 138.58°, β = 97.32°, γ = 95.27°
Positions (direct):
1 Pm 0.7616 0.4981 0.9405
2 Pm 0.4879 0.9347 0.2424
3 Pm 0.6249 0.2575 0.1324
4 Pm 0.1251 0.5637 0.9387
5 Nd 0.9877 0.3191 0.1263
6 Nd 0.2624 0.8893 0.8324
7 Er 0.8498 0.1088 0.3378
8 Er 0.3510 0.5849 0.3131
9 Er 0.8993 0.7086 0.7308
10 Er 0.7050 0.8918 0.5550
11 Er 0.2039 0.2185 0.3821
12 Er 0.3991 0.2436 0.7641
13 Er 0.5464 0.6041 0.6913
14 Er 0.0460 0.9274 0.5132

| no. | V (Å³ per cell) | calculated density (Mg/m³) | magnetization (Bohr magnetons per cell) |
| --- | --- | --- | --- |
| 1 | 693.8 | 7.29 | 0.000 |
| 2 | 940.2 | 8.62 | 0.000 |
| 3 | 204.8 | 7.77 | 3.922 |
| 4 | 454.7 | 8.06 | 0.000 |